VASP calculation (PBE+U) on crystalline NbVF3 at its relaxed geometry.

The energy relative to the lowest polymorph listed for this composition comes out at 0 meV per atom. The calculation puts the calculated volume at 74.36 Å³/cell.

It has space group Pm-3m (No. 221), with a = 4.205 Å, b = 4.205 Å, c = 4.205 Å, α = 90.00°, β = 90.00° and γ = 90.00°. The distinct sites, in fractional coordinates, are Nb at (0.000, 0.000, 0.000), V at (0.500, 0.500, 0.500) and F at (0.000, 0.500, 0.500).